HfSb2TeAs: optimized geometry, PBE.

abc: 5.555 5.555 5.417
angles: 90.00 90.00 90.00
Space group P4/mmm (No. 123)
One atom of each set of equivalent atoms:
Hf: 0.000 0.000 0.000 (multiplicity 1)
Sb: 0.000 0.500 0.000 (multiplicity 2)
Te: 0.000 0.000 0.500 (multiplicity 1)
As: 0.500 0.500 0.500 (multiplicity 1)

The value obtained for the formation energy from raw total energies is 0.515 eV/atom.



HfSbTe2As: optimized geometry, PBE.

abc: 5.475 5.475 5.657
angles: 90.00 90.00 90.00
Space group P4/mmm (No. 123)
One atom of each set of equivalent atoms:
Hf: 0.000 0.000 0.000 (multiplicity 1)
Sb: 0.000 0.000 0.500 (multiplicity 1)
Te: 0.000 0.500 0.000 (multiplicity 2)
As: 0.500 0.500 0.500 (multiplicity 1)

The value obtained for the formation energy from raw total energies is 0.399 eV/atom.



HfSbAsW2: optimized geometry, PBE.

abc: 4.621 4.621 5.234
angles: 90.00 90.00 90.00
Space group P4/mmm (No. 123)
One atom of each set of equivalent atoms:
Hf: 0.000 0.000 0.000 (multiplicity 1)
Sb: 0.500 0.500 0.000 (multiplicity 1)
As: 0.500 0.500 0.500 (multiplicity 1)
W: 0.000 0.500 0.500 (multiplicity 2)

The value obtained for the formation energy from raw total energies is 1.328 eV/atom.



Hf2ScAs3: optimized geometry, PBE.

abc: 14.575 3.841 9.279
angles: 90.00 107.22 90.00
Space group C2/m (No. 12)
One atom of each set of equivalent atoms:
Hf: 0.168 0.000 0.335 (multiplicity 4)
Hf: 0.169 0.500 0.836 (multiplicity 4)
Sc: 0.000 0.000 0.500 (multiplicity 2)
Sc: 0.000 0.500 0.000 (multiplicity 2)
As: 0.028 0.500 0.305 (multiplicity 4)
As: 0.139 0.000 0.027 (multiplicity 4)
As: 0.194 0.000 0.639 (multiplicity 4)

As for the formation energy: -1.10 eV/atom.



HfSc5As6: optimized geometry, PBE.

abc: 6.705 11.597 6.694
angles: 90.00 109.51 90.00
Space group C2/m (No. 12)
One atom of each set of equivalent atoms:
Hf: 0.000 0.000 0.000 (multiplicity 2)
Sc: 0.000 0.167 0.500 (multiplicity 4)
Sc: 0.000 0.334 0.000 (multiplicity 4)
Sc: 0.000 0.500 0.500 (multiplicity 2)
As: 0.248 0.000 0.751 (multiplicity 4)
As: 0.249 0.166 0.249 (multiplicity 8)

As for the formation energy: -1.33 eV/atom.



HfSc2As2: optimized geometry, PBE.

abc: 7.655 7.655 3.403
angles: 90.00 90.00 90.00
Space group P4/mbm (No. 127)
One atom of each set of equivalent atoms:
Hf: 0.000 0.000 0.000 (multiplicity 2)
Sc: 0.134 0.366 0.000 (multiplicity 4)
As: 0.171 0.671 0.500 (multiplicity 4)

As for the formation energy: -0.49 eV/atom.



HfSc2As2: optimized geometry, PBE.

abc: 7.234 7.234 3.714
angles: 90.00 90.00 90.00
Space group P4/mbm (No. 127)
One atom of each set of equivalent atoms:
Hf: 0.000 0.000 0.000 (multiplicity 2)
Sc: 0.157 0.343 0.500 (multiplicity 4)
As: 0.147 0.647 0.000 (multiplicity 4)

As for the formation energy: -1.05 eV/atom.



HfSc2As: optimized geometry, PBE.

abc: 3.4834 3.4834 27.5061
angles: 90.00 90.00 120.00
Space group R-3m (No. 166, hexagonal axes)
One atom of each set of equivalent atoms:
Hf: 0.0000 0.0000 0.0000 (multiplicity 3)
Sc: 0.0000 0.0000 0.1056 (multiplicity 6)
As: 0.0000 0.0000 0.5000 (multiplicity 3)

As for the formation energy: -0.11 eV/atom.



HfSc2As: optimized geometry, PBE.

abc: 8.034 8.034 5.555
angles: 90.00 90.00 90.00
Space group I-42d (No. 122)
One atom of each set of equivalent atoms:
Hf: 0.000 0.000 0.000 (multiplicity 4)
Sc: 0.199 0.250 0.625 (multiplicity 8)
As: 0.000 0.000 0.500 (multiplicity 4)

As for the formation energy: -0.19 eV/atom.



Hf3ScAs4: optimized geometry, PBE.

abc: 5.426 5.426 10.851
angles: 90.00 90.00 90.00
Space group I4/mmm (No. 139)
One atom of each set of equivalent atoms:
Hf: 0.000 0.000 0.000 (multiplicity 2)
Hf: 0.000 0.500 0.250 (multiplicity 4)
Sc: 0.000 0.000 0.500 (multiplicity 2)
As: 0.000 0.000 0.251 (multiplicity 4)
As: 0.000 0.500 0.000 (multiplicity 4)

As for the formation energy: -1.07 eV/atom.



Hf5Sc3As8: optimized geometry, PBE.

abc: 7.6787 7.6787 18.8881
angles: 90.00 90.00 120.00
Space group R-3m (No. 166, hexagonal axes)
One atom of each set of equivalent atoms:
Hf: 0.0000 0.0000 0.0000 (multiplicity 3)
Hf: 0.0000 0.0000 0.5000 (multiplicity 3)
Hf: 0.0000 0.5000 0.0000 (multiplicity 9)
Sc: 0.0000 0.5000 0.5000 (multiplicity 9)
As: 0.0000 0.0000 0.2502 (multiplicity 6)
As: 0.0001 0.5001 0.2501 (multiplicity 18)

As for the formation energy: -1.13 eV/atom.



HfSc2As2: optimized geometry, PBE.

abc: 5.073 5.073 8.472
angles: 90.00 90.00 90.00
Space group I4/mmm (No. 139)
One atom of each set of equivalent atoms:
Hf: 0.000 0.000 0.000 (multiplicity 2)
Sc: 0.000 0.000 0.330 (multiplicity 4)
As: 0.000 0.500 0.250 (multiplicity 4)

As for the formation energy: -0.35 eV/atom.



HfSc4As5: optimized geometry, PBE.

abc: 3.861 5.460 19.363
angles: 90.00 90.00 90.00
Space group Immm (No. 71)
One atom of each set of equivalent atoms:
Hf: 0.000 0.000 0.000 (multiplicity 2)
Sc: 0.000 0.000 0.200 (multiplicity 4)
Sc: 0.000 0.000 0.399 (multiplicity 4)
As: 0.000 0.500 0.000 (multiplicity 2)
As: 0.000 0.500 0.200 (multiplicity 4)
As: 0.000 0.500 0.401 (multiplicity 4)

As for the formation energy: -1.32 eV/atom.



Sm2HfScAs4: optimized geometry, PBE.

abc: 6.961 4.023 6.984
angles: 90.00 109.32 90.00
Space group P2/m (No. 10)
One atom of each set of equivalent atoms:
Sm: 0.000 0.000 0.000 (multiplicity 1)
Sm: 0.500 0.500 0.000 (multiplicity 1)
Hf: 0.000 0.500 0.500 (multiplicity 1)
Sc: 0.500 0.000 0.500 (multiplicity 1)
As: 0.241 0.000 0.727 (multiplicity 2)
As: 0.256 0.500 0.273 (multiplicity 2)

As for the formation energy: -1.36 eV/atom.



Sr2HfScAs4: optimized geometry, PBE.

abc: 7.046 4.056 7.436
angles: 90.00 108.32 90.00
Space group P2/m (No. 10)
One atom of each set of equivalent atoms:
Sr: 0.000 0.000 0.000 (multiplicity 1)
Sr: 0.500 0.500 0.000 (multiplicity 1)
Hf: 0.000 0.500 0.500 (multiplicity 1)
Sc: 0.500 0.000 0.500 (multiplicity 1)
As: 0.233 0.000 0.709 (multiplicity 2)
As: 0.260 0.500 0.291 (multiplicity 2)

As for the formation energy: -1.12 eV/atom.



Sr3HfSc2As6: optimized geometry, PBE.

abc: 7.074 12.231 7.415
angles: 90.00 108.44 90.00
Space group C2/m (No. 12)
One atom of each set of equivalent atoms:
Sr: 0.000 0.000 0.000 (multiplicity 2)
Sr: 0.000 0.332 0.000 (multiplicity 4)
Hf: 0.000 0.500 0.500 (multiplicity 2)
Sc: 0.000 0.166 0.500 (multiplicity 4)
As: 0.234 0.335 0.708 (multiplicity 8)
As: 0.240 0.000 0.709 (multiplicity 4)

As for the formation energy: -1.12 eV/atom.



Sr3Hf2ScAs6: optimized geometry, PBE.

abc: 7.006 12.142 7.456
angles: 90.00 108.31 90.00
Space group C2/m (No. 12)
One atom of each set of equivalent atoms:
Sr: 0.000 0.000 0.000 (multiplicity 2)
Sr: 0.000 0.334 0.000 (multiplicity 4)
Hf: 0.000 0.167 0.500 (multiplicity 4)
Sc: 0.000 0.500 0.500 (multiplicity 2)
As: 0.232 0.000 0.709 (multiplicity 4)
As: 0.239 0.331 0.710 (multiplicity 8)

As for the formation energy: -1.13 eV/atom.



Tb2HfScAs4: optimized geometry, PBE.

abc: 6.896 3.985 6.914
angles: 90.00 109.32 90.00
Space group P2/m (No. 10)
One atom of each set of equivalent atoms:
Tb: 0.000 0.000 0.000 (multiplicity 1)
Tb: 0.500 0.500 0.000 (multiplicity 1)
Hf: 0.000 0.500 0.500 (multiplicity 1)
Sc: 0.500 0.000 0.500 (multiplicity 1)
As: 0.243 0.000 0.732 (multiplicity 2)
As: 0.254 0.500 0.268 (multiplicity 2)

As for the formation energy: -1.37 eV/atom.



HfSc2TcAs: optimized geometry, PBE.

abc: 4.836 4.836 4.960
angles: 90.00 90.00 90.00
Space group P4/mmm (No. 123)
One atom of each set of equivalent atoms:
Hf: 0.000 0.000 0.000 (multiplicity 1)
Sc: 0.000 0.500 0.500 (multiplicity 2)
Tc: 0.500 0.500 0.000 (multiplicity 1)
As: 0.000 0.000 0.500 (multiplicity 1)

As for the formation energy: 0.35 eV/atom.



Hf2ScTiAs: optimized geometry, PBE.

abc: 5.008 5.008 4.713
angles: 90.00 90.00 90.00
Space group P4/mmm (No. 123)
One atom of each set of equivalent atoms:
Hf: 0.000 0.500 0.000 (multiplicity 2)
Sc: 0.000 0.000 0.500 (multiplicity 1)
Ti: 0.500 0.500 0.500 (multiplicity 1)
As: 0.500 0.500 0.000 (multiplicity 1)

As for the formation energy: 0.04 eV/atom.



We obtain N(E_F) values of 4.9, 3.2, 1.9, 9.5, 5.8, 7.2, 10.5, 14.9, 15.5, 5.7, 22.1, 3.6, 5.8, 1.4, 3.2, 10.7, 7.1, 1.3, 3.8, 4.3 states/eV per cell for the records listed above, in that order.
We obtain ρ values of 6204, 6172, 11034, 8390, 5773, 6967, 7146, 5917, 6360, 9148, 8402, 6371, 5964, 7413, 5748, 5352, 6146, 7788, 6317, 7372 kg/m³ for the records listed above, in that order.
We obtain electronic total energy values of -4.6832, -4.6025, -7.5980, -7.7943, -7.1268, -6.8751, -7.4284, -6.9251, -7.0101, -7.9167, -7.7496, -6.7303, -7.1685, -6.9022, -5.9038, -5.7471, -6.0607, -6.8921, -7.1715, -7.7121 eV/atom for the records listed above, in that order.